1.
ZrMo2Br: relaxed, GGA-PBE.

Unit cell a=5.4067 b=5.4067 c=5.4067 alpha=144.28 beta=123.99 gamma=68.23
Fractional positions:
Mo: 0.9898 0.9898 0.0000
Mo: 0.7828 0.2828 0.5000
Br: 0.2335 0.7335 0.5000
Zr: 0.4939 0.4939 0.0000

Summary:
As for the formation energy without anion corrections: 0.48 eV/atom. Its crystal system is orthorhombic. Its space group is Imm2, No. 44.



2.
GaSnP3: relaxed, GGA-PBE.

Unit cell a=4.7496 b=4.7496 c=4.7496 alpha=90.00 beta=90.00 gamma=90.00
Fractional positions:
P: 0.0000 0.5000 0.0000
P: 0.0000 0.0000 0.5000
P: 0.5000 0.0000 0.0000
Sn: 0.5000 0.5000 0.5000
Ga: 0.0000 0.0000 0.0000

Summary:
The energy is -19.6 eV/cell. Its crystal system is cubic. Its space group is Pm-3m, No. 221.



3.
LaAlFe2: relaxed, GGA-PBE.

Unit cell a=5.6888 b=5.6888 c=5.6888 alpha=148.74 beta=130.98 gamma=59.29
Last column: magnetic moment on the atom in μB.
Fractional positions:
Al: 0.2160 0.7160 0.5000  -0.03
Fe: 0.9841 0.9841 0.0000  1.73
Fe: 0.7948 0.2948 0.5000  2.39
La: 0.5051 0.5051 0.0000  -0.25

Summary:
The energy is -24.8 eV/cell. Its crystal system is orthorhombic. Its space group is Imm2, No. 44.



4.
CdTe2F: relaxed, GGA-PBE.

Unit cell a=4.3218 b=7.2516 c=8.0095 alpha=64.24 beta=88.53 gamma=72.80
Fractional positions:
F: 0.2397 0.6794 0.2372
F: 0.8275 0.4915 0.4439
Te: 0.0461 0.8111 0.5983
Te: 0.8144 0.3475 0.0399
Te: 0.8856 0.0497 0.8104
Te: 0.4298 0.0807 0.3143
Cd: 0.3768 0.3584 0.5122
Cd: 0.7165 0.7154 0.1204

Summary:
As for the formation energy without anion corrections: -0.83 eV/atom. Its crystal system is triclinic. Its space group is P1, No. 1.



5.
Ni3PdN: relaxed, GGA-PBE.

Unit cell a=3.1371 b=3.1371 c=14.6453 alpha=90.00 beta=90.00 gamma=120.00
Fractional positions:
Ni: 0.0000 0.0000 0.2500
Ni: 0.0000 0.0000 0.7500
Ni: 0.3333 0.6667 0.8733
Ni: 0.3333 0.6667 0.6267
Ni: 0.6667 0.3333 0.3733
Ni: 0.6667 0.3333 0.1267
Pd: 0.0000 0.0000 0.0000
Pd: 0.0000 0.0000 0.5000
N: 0.3333 0.6667 0.7500
N: 0.6667 0.3333 0.2500

Summary:
As for the formation energy without anion corrections: 0.28 eV/atom. Its crystal system is hexagonal. Its space group is P6_3/mmc, No. 194.



6.
MnBeSb2: relaxed, GGA-PBE.

Unit cell a=3.2870 b=3.2870 c=7.5730 alpha=90.00 beta=90.00 gamma=107.48
Last column: magnetic moment on the atom in μB.
Fractional positions:
Sb: 0.0000 0.0000 0.0133  -0.04
Sb: 0.0000 0.0000 0.4867  -0.04
Mn: 0.5000 0.5000 0.7500  3.54
Be: 0.5000 0.5000 0.2500  0.04

Summary:
As for the formation energy without anion corrections: 0.50 eV/atom. Its crystal system is orthorhombic. Its space group is Cmmm, No. 65.



7.
Ba2GeBiS5: relaxed, GGA-PBE.

Unit cell a=4.3636 b=9.2734 c=12.8560 alpha=90.00 beta=90.00 gamma=103.61
Fractional positions:
Ba: 0.8720 0.7440 0.8313
Ba: 0.1159 0.2317 0.6879
Ba: 0.1280 0.2560 0.3313
Ba: 0.8841 0.7683 0.1879
Ge: 0.5498 0.0996 0.9315
Ge: 0.4502 0.9004 0.4315
Bi: 0.7967 0.5934 0.5346
Bi: 0.2033 0.4066 0.0346
S: 0.3476 0.6951 0.0108
S: 0.6751 0.3503 0.8788
S: 0.4959 0.9918 0.7716
S: 0.2934 0.5868 0.6739
S: 0.9711 0.9421 0.5035
S: 0.6524 0.3049 0.5108
S: 0.3249 0.6497 0.3788
S: 0.5041 0.0082 0.2716
S: 0.7066 0.4132 0.1739
S: 0.0289 0.0579 0.0035

Summary:
As for the formation energy without anion corrections: -1.17 eV/atom. Its crystal system is orthorhombic. Its space group is Cmc2_1, No. 36.



8.
BaPAu: relaxed, GGA-PBE.

Unit cell a=6.4379 b=4.4998 c=7.9766 alpha=55.62 beta=77.11 gamma=69.56
Fractional positions:
P: 0.0916 0.0896 0.0817
P: 0.6720 0.3006 0.5815
Au: 0.2085 0.5904 0.0225
Au: 0.5551 0.7997 0.6409
Ba: 0.1077 0.5842 0.5795
Ba: 0.6559 0.8058 0.0838

Summary:
The energy is -26.1 eV/cell. Its crystal system is triclinic. Its space group is P-1, No. 2.